Compound: AlHSeN2
Source: Alexandria via LeMat-Bulk
Functional: PBE
Structure: relaxed

a = 3.599 Å, b = 3.599 Å, c = 5.642 Å
α = 90.00°, β = 90.00°, γ = 90.00°
Site moments in Bohr magnetons follow the coordinates.
Atoms (fractional coordinates):
N1 0.000 0.500 0.000  0.43
N2 0.500 0.000 0.000  0.43
Al1 0.000 0.000 0.000  -0.01
Se1 0.000 0.000 0.500  0.29
H1 0.500 0.500 0.500  -0.02

Results
For the size of the total moment, the calculation gives 0.3252 μB/atom. The density of states at the Fermi level is 3.56 states/eV/cell. The value obtained for the total energy is -4.250 eV/atom. For the energy above the most stable polymorph in this dataset, the calculation gives 0 meV per atom. The space group is No. 123.

=====

Compound: Sm2HoAu4
Source: Alexandria via LeMat-Bulk
Functional: PBE
Structure: relaxed

a = 5.238 Å, b = 5.238 Å, c = 7.476 Å
α = 110.51°, β = 110.51°, γ = 90.00°
Atoms (fractional coordinates):
Au1 0.384 0.884 0.768
Au2 0.884 0.384 0.768
Au3 0.116 0.616 0.232
Au4 0.616 0.116 0.232
Ho1 0.000 0.000 0.000
Sm1 0.277 0.277 0.555
Sm2 0.723 0.723 0.445

Results
For the size of the total moment, the calculation gives 0.0000 μB/atom. The value obtained for the formation energy is -686 meV/atom. The density of states at the Fermi level is 5.06 states/eV/cell. The value obtained for the total energy is -4.561 eV/atom. The space group is No. 139.